TbErI2 PBE optimized geometry; formation energy without anion corrections = -60.5 kJ/mol of atoms; space-group type = R-3m, No. 166; volume = 33.85 A^3/atom
1.0
3.835 0.000 0.000
1.918 3.321 0.000
1.918 1.107 10.631
I Tb Er
2 1 1
direct
0.097 0.097 0.709 I
0.903 0.903 0.291 I
0.500 0.500 0.500 Tb
0.000 0.000 0.000 Er